(1)
A plane-wave DFT calculation with PBE was carried out for an optimized crystal structure of LaY3Tm5. Values from VASP.

Geometry as Quantum ESPRESSO input:
```
&SYSTEM
  ibrav = 0, nat = 18, ntyp = 3
/
ATOMIC_SPECIES
La 138.91 La.upf
Y 88.91 Y.upf
Tm 168.93 Tm.upf
CELL_PARAMETERS angstrom
-4.3434 4.3434 7.5732
4.3434 -4.3434 7.5732
4.3434 4.3434 -7.5732
ATOMIC_POSITIONS crystal
La 0.2500 0.7500 0.5000
La 0.7500 0.2500 0.5000
Y 0.1182 0.6182 0.7363
Y 0.2500 0.2500 0.0000
Y 0.3818 0.1182 0.5000
Y 0.6182 0.8818 0.5000
Y 0.7500 0.7500 0.0000
Y 0.8818 0.3818 0.2637
Tm 0.0000 0.0000 0.0000
Tm 0.0666 0.1612 0.5000
Tm 0.1612 0.6612 0.0946
Tm 0.3388 0.4334 0.5000
Tm 0.4334 0.9334 0.0946
Tm 0.5000 0.5000 0.0000
Tm 0.5666 0.0666 0.9054
Tm 0.6612 0.5666 0.5000
Tm 0.8388 0.3388 0.9054
Tm 0.9334 0.8388 0.5000
```

Computed properties:
- SG = No. 140
- total magnetization (μB/f.u.) = 0.00
- energy above the most stable polymorph in this dataset (eV/f.u.) = 0.00
- formation enthalpy at 0 K (meV per atom) = 283
- crystal system = tetragonal


(2)
A plane-wave DFT calculation with PBE was carried out for an optimized crystal structure of Ac8SiP3I4. Values from VASP.

Geometry as Quantum ESPRESSO input:
```
&SYSTEM
  ibrav = 0, nat = 16, ntyp = 4
/
ATOMIC_SPECIES
Ac 227.00 Ac.upf
Si 28.09 Si.upf
P 30.97 P.upf
I 126.90 I.upf
CELL_PARAMETERS angstrom
4.4896 2.5921 8.1262
-4.4896 2.5921 8.1262
0.0000 -5.1841 8.1262
ATOMIC_POSITIONS crystal
Ac 0.2280 0.7336 0.7336
Ac 0.2310 0.2310 0.2310
Ac 0.2664 0.2664 0.7720
Ac 0.2664 0.7720 0.2664
Ac 0.7336 0.2280 0.7336
Ac 0.7336 0.7336 0.2280
Ac 0.7690 0.7690 0.7690
Ac 0.7720 0.2664 0.2664
Si 0.5000 0.5000 0.5000
P 0.0000 0.0000 0.5000
P 0.0000 0.5000 0.0000
P 0.5000 0.0000 0.0000
I 0.0000 0.0000 0.0000
I 0.0000 0.5000 0.5000
I 0.5000 0.0000 0.5000
I 0.5000 0.5000 0.0000
```

Computed properties:
- SG = No. 166
- total magnetization (μB/f.u.) = 0.00
- formation energy from raw total energies (meV per atom) = -1231
- crystal system = trigonal